Crystalline Ac3Bi2Sb at its relaxed geometry, computed with PBE-GGA.

The space group is Immm (No. 71) and the conventional cell measures 4.856, 6.861 and 14.552 Å, with angles of 90.00, 90.00 and 90.00 degrees. The asymmetric unit holds Ac at (0.000, 0.000, 0.000), Ac at (0.000, 0.000, 0.336), Bi at (0.000, 0.500, 0.333) and Sb at (0.000, 0.500, 0.000).

Its electronic total energy is -5.111 eV per atom. As for the density of states at the Fermi level: 0.5 states/eV/f.u. Its formation energy (no corrections) is -1076.0 meV per atom.

Crystalline La15TbPm4 at its relaxed geometry, computed with PBE-GGA.

The space group is P4/mmm (No. 123) and the conventional cell measures 5.233, 5.233 and 26.255 Å, with angles of 90.00, 90.00 and 90.00 degrees. The asymmetric unit holds La at (0.000, 0.000, 0.000), La at (0.000, 0.000, 0.200), La at (0.000, 0.000, 0.400), La at (0.000, 0.500, 0.099), La at (0.000, 0.500, 0.300), La at (0.000, 0.500, 0.500), Tb at (0.500, 0.500, 0.000), Pm at (0.500, 0.500, 0.199) and Pm at (0.500, 0.500, 0.400).

The formation energy comes out at 0.01 eV per atom. Its electronic total energy is -4.866 eV per atom. As for the density of states at the Fermi level: 34.5 states/eV/f.u.

Crystalline Dy2AlZn2Cu5 at its relaxed geometry, computed with PBE-GGA.

The space group is P4/mbm (No. 127) and the conventional cell measures 9.717, 9.717 and 3.501 Å, with angles of 90.00, 90.00 and 90.00 degrees. The asymmetric unit holds Dy at (0.179, 0.321, 0.000), Al at (0.000, 0.000, 0.000), Zn at (0.121, 0.621, 0.000), Cu at (0.000, 0.500, 0.500) and Cu at (0.050, 0.807, 0.500).

The formation energy comes out at -0.16 eV per atom. Its electronic total energy is -3.758 eV per atom. As for the density of states at the Fermi level: 6.0 states/eV/f.u.

Crystalline LiCa2LaO4 at its relaxed geometry, computed with PBE-GGA.

The space group is Cmcm (No. 63) and the conventional cell measures 3.399, 11.156 and 11.506 Å, with angles of 90.00, 90.00 and 90.00 degrees. The asymmetric unit holds Li at (0.000, 0.156, 0.250), Ca at (0.000, 0.370, 0.552), La at (0.000, 0.113, 0.750), O at (0.000, 0.000, 0.000), O at (0.000, 0.273, 0.128) and O at (0.000, 0.450, 0.750).

Its electronic total energy is -6.693 eV per atom. As for the density of states at the Fermi level: 0.0 states/eV/f.u. Its formation energy (no corrections) is -2857.9 meV per atom.

Crystalline Co2GeMo at its relaxed geometry, computed with PBE-GGA.

The space group is P2/m (No. 10) and the conventional cell measures 2.735, 3.586 and 5.203 Å, with angles of 90.00, 90.31 and 90.00 degrees. The asymmetric unit holds Co at (0.003, 0.000, 0.249), Ge at (0.500, 0.500, 0.500) and Mo at (0.500, 0.500, 0.000).

The formation energy comes out at -0.01 eV per atom. Its electronic total energy is -7.426 eV per atom. As for the density of states at the Fermi level: 4.1 states/eV/f.u.

Crystalline K2Ga4Sn3Hg at its relaxed geometry, computed with PBE-GGA.

The space group is P-4m2 (No. 115) and the conventional cell measures 4.876, 4.876 and 11.523 Å, with angles of 90.00, 90.00 and 90.00 degrees. The asymmetric unit holds K at (0.000, 0.500, 0.248), Ga at (0.000, 0.000, 0.000), Ga at (0.000, 0.500, 0.631), Ga at (0.500, 0.500, 0.000), Sn at (0.000, 0.500, 0.871), Sn at (0.500, 0.500, 0.500) and Hg at (0.000, 0.000, 0.500).

The formation energy comes out at -0.16 eV per atom. Its electronic total energy is -2.825 eV per atom. As for the density of states at the Fermi level: 2.9 states/eV/f.u.